Below is a geometry-optimized Sm3Mg3TlAu2 structure, with properties calculated at the GGA-PBE level.

Unit cell a=7.5503 b=7.5503 c=4.4892 alpha=90.00 beta=90.00 gamma=120.00
With the nearest neighbours (Å) after each atom.
Sites, in units of the cell vectors:
Sm: 0.0000 0.4250 0.0000  4 Au 3.18, 1 Tl 3.21, 2 Mg 3.32
Sm: 0.4250 0.0000 0.0000  4 Au 3.18, 1 Tl 3.21, 2 Mg 3.32
Sm: 0.5750 0.5750 0.0000  4 Au 3.18, 1 Tl 3.21, 2 Mg 3.32
Mg: 0.0000 0.7486 0.5000  2 Au 2.88, 2 Tl 2.94
Mg: 0.2514 0.2514 0.5000  2 Au 2.88, 2 Tl 2.94
Mg: 0.7486 0.0000 0.5000  2 Au 2.88, 2 Tl 2.94
Tl: 0.0000 0.0000 0.0000  6 Mg 2.94, 3 Sm 3.21
Au: 0.3333 0.6667 0.5000  3 Mg 2.88, 6 Sm 3.18
Au: 0.6667 0.3333 0.5000  3 Mg 2.88, 6 Sm 3.18

Calculated values
- V: 222 Å³/cell
- Total magnetic moment: 0.017 μB per cell
- Uncorrected energy: -3.60 eV per atom
- Symmetry: P-62m
- Mass density: 8.41 g/cm3